[1]
A plane-wave DFT calculation with PBE-GGA was carried out for AcAu2 after structural relaxation.

Geometry as extended XYZ:
```
6
Lattice="0.000 4.195 4.195 4.195 0.000 4.195 4.195 4.195 0.000" Properties=species:S:1:pos:R:3 pbc="T T T"
Ac 1.049 1.049 1.049
Ac 7.342 7.342 7.342
Au 4.195 2.098 2.098
Au 2.098 4.195 2.098
Au 2.098 2.098 4.195
Au 4.195 4.195 4.195
```

Output
* offset from the most stable computed form: 29.2 kJ/mol of atoms
* DFT formation energy: -0.527 eV per atom

[2]
A plane-wave DFT calculation with PBE-GGA was carried out for Ac5Au after structural relaxation.

Geometry as extended XYZ:
```
6
Lattice="2.018 -9.418 0.000 2.018 9.418 0.000 0.000 0.000 6.293" Properties=species:S:1:pos:R:3 pbc="T T T"
Ac 0.000 0.000 0.000
Ac 2.018 6.754 3.146
Ac 2.018 3.152 0.000
Ac 2.018 -3.152 0.000
Ac 2.018 -6.754 3.146
Au 2.018 0.000 3.146
```

Output
* DFT formation energy: -0.097 eV per atom

[3]
A plane-wave DFT calculation with PBE-GGA was carried out for Ac3Au after structural relaxation.

Geometry as extended XYZ:
```
4
Lattice="-2.535 2.535 5.573 2.535 -2.535 5.573 2.535 2.535 -5.573" Properties=species:S:1:pos:R:3 pbc="T T T"
Ac 0.000 0.000 0.000
Ac 2.535 0.000 2.787
Ac 0.000 2.535 2.787
Au 0.000 0.000 5.573
```

Output
* offset from the most stable computed form: 28.8 kJ/mol of atoms
* DFT formation energy: -0.104 eV per atom

[4]
A plane-wave DFT calculation with PBE-GGA was carried out for Ac2Au after structural relaxation.

Geometry as extended XYZ:
```
3
Lattice="-1.962 1.962 6.900 1.962 -1.962 6.900 1.962 1.962 -6.900" Properties=species:S:1:pos:R:3 pbc="T T T"
Ac 0.000 0.000 1.918
Ac 0.000 0.000 11.883
Au 0.000 0.000 6.900
```

Output
* offset from the most stable computed form: 4.5 kJ/mol of atoms
* DFT formation energy: -0.491 eV per atom

[5]
A plane-wave DFT calculation with PBE-GGA was carried out for Ac3Au4 after structural relaxation.

Geometry as extended XYZ:
```
7
Lattice="12.805 -1.984 0.000 12.805 1.984 0.000 -0.612 0.000 3.921" Properties=species:S:1:pos:R:3 pbc="T T T"
Ac 0.000 0.000 0.000
Ac 3.873 0.000 0.610
Ac 21.125 0.000 3.311
Au 7.059 0.000 1.106
Au 10.628 0.000 1.669
Au 14.371 0.000 2.252
Au 17.939 0.000 2.815
```

Output
* offset from the most stable computed form: 6.0 kJ/mol of atoms
* DFT formation energy: -0.764 eV per atom

[6]
A plane-wave DFT calculation with PBE-GGA was carried out for Ac3Au after structural relaxation.

Geometry as extended XYZ:
```
4
Lattice="-2.005 5.942 3.223 2.005 -5.942 3.223 2.005 5.942 -3.223" Properties=species:S:1:pos:R:3 pbc="T T T"
Ac 0.000 0.000 0.000
Ac 2.005 3.556 -0.194
Ac 0.000 2.386 3.029
Au 0.000 5.942 0.750
```

Output
* offset from the most stable computed form: 6.5 kJ/mol of atoms
* DFT formation energy: -0.336 eV per atom

| no. | V (Å³ per atom) |
| --- | --- |
| 1 | 24.61 |
| 2 | 39.87 |
| 3 | 35.80 |
| 4 | 35.43 |
| 5 | 28.47 |
| 6 | 38.39 |